Entry 1:
Here is an optimized crystal structure of AlAsSe2O from Alexandria. Energies are from PBE.

Cell and atoms, written as extended XYZ:
```
5
Lattice="-0.1932 0.6461 -4.6703 -2.8937 -3.7066 -0.3931 -3.8977 2.9820 0.5738" Properties=species:S:1:pos:R:3 pbc="T T T"
As -1.9488 1.4910 0.2869
Al 0.0000 0.0000 0.0000
O -3.4923 -0.0392 -2.2448
Se -1.4468 -1.8533 -0.1965
Se -0.0966 0.3230 -2.3352
```

Total magnetic moment in μB/f.u.: 0.0
Electronic total energy in eV per atom: -3.257

Entry 2:
Here is an optimized crystal structure of ScBe2Mo from Alexandria. Energies are from PBE.

Cell and atoms, written as extended XYZ:
```
4
Lattice="5.0830 0.0124 0.0041 4.2728 2.7533 0.0041 1.8278 0.5403 3.8748" Properties=species:S:1:pos:R:3 pbc="T T T"
Sc 2.9150 0.8617 0.9081
Be 8.1361 2.4051 3.0393
Be 2.0672 0.6111 3.7536
Mo 5.4849 1.6214 1.9983
```

ΔE_f in eV per atom: 0.098
Total magnetic moment in μB/f.u.: 0.0
Electronic total energy in eV per atom: -6.056